# DyMnTc PBE relaxed
# * formation energy: 266.3 meV/atom
# * N(E_F): 27.1 states/eV per cell
# * energy above the lowest structure with this stoichiometry: 0.337 eV per atom
# * total moment: 0.01 μB/f.u.
# * crystal system: orthorhombic
data_DyMnTc
_chemical_formula_sum 'Dy8 Mn8 Tc8'
_symmetry_space_group_name_H-M 'F m m m'
_symmetry_Int_Tables_number 69
_symmetry_space_group_name_Hall '-F 2 2'
_cell_length_a 4.779
_cell_length_b 8.933
_cell_length_c 9.514
_cell_angle_alpha 90.00
_cell_angle_beta 90.00
_cell_angle_gamma 90.00
loop_
_atom_site_label
_atom_site_type_symbol
_atom_site_fract_x
_atom_site_fract_y
_atom_site_fract_z
Dy1 Dy 0.000 0.158 0.000
Mn1 Mn 0.250 0.250 0.250
Tc1 Tc 0.000 0.000 0.325

=====

# Dy2MnTc PBE relaxed
# * formation energy: 129.9 meV/atom
# * N(E_F): 15.7 states/eV per cell
# * energy above the lowest structure with this stoichiometry: 0.000 eV per atom
# * total moment: 3.85 μB/f.u.
# * crystal system: cubic
data_Dy2MnTc
_chemical_formula_sum 'Dy8 Mn4 Tc4'
_symmetry_space_group_name_H-M 'F m -3 m'
_symmetry_Int_Tables_number 225
_symmetry_space_group_name_Hall '-F 4 2 3'
_cell_length_a 6.957
_cell_length_b 6.957
_cell_length_c 6.957
_cell_angle_alpha 90.00
_cell_angle_beta 90.00
_cell_angle_gamma 90.00
loop_
_atom_site_label
_atom_site_type_symbol
_atom_site_fract_x
_atom_site_fract_y
_atom_site_fract_z
Dy1 Dy 0.250 0.250 0.250
Mn1 Mn 0.000 0.000 0.000
Tc1 Tc 0.000 0.000 0.500

=====

# DyMn3Tc3 PBE relaxed
# * formation energy: 737.3 meV/atom
# * N(E_F): 8.7 states/eV per cell
# * total moment: 0.00 μB/f.u.
# * crystal system: cubic
data_DyMn3Tc3
_chemical_formula_sum 'Dy2 Mn6 Tc6'
_symmetry_space_group_name_H-M 'P m -3 n'
_symmetry_Int_Tables_number 223
_symmetry_space_group_name_Hall '-P 4n 2 3'
_cell_length_a 6.413
_cell_length_b 6.413
_cell_length_c 6.413
_cell_angle_alpha 90.00
_cell_angle_beta 90.00
_cell_angle_gamma 90.00
loop_
_atom_site_label
_atom_site_type_symbol
_atom_site_fract_x
_atom_site_fract_y
_atom_site_fract_z
Dy1 Dy 0.000 0.000 0.000
Mn1 Mn 0.000 0.250 0.500
Tc1 Tc 0.000 0.500 0.250

=====

# DyMn6Tc2 PBE relaxed
# * formation energy: 328.4 meV/atom
# * N(E_F): 10.6 states/eV per cell
# * total moment: 0.38 μB/f.u.
# * crystal system: triclinic
data_DyMn6Tc2
_chemical_formula_sum 'Dy1 Mn6 Tc2'
_symmetry_space_group_name_H-M 'P -1'
_symmetry_Int_Tables_number 2
_cell_length_a 2.792
_cell_length_b 6.900
_cell_length_c 7.270
_cell_angle_alpha 114.23
_cell_angle_beta 100.99
_cell_angle_gamma 90.01
loop_
_symmetry_equiv_pos_as_xyz
'x,y,z'
'-x,-y,-z'
loop_
_atom_site_label
_atom_site_type_symbol
_atom_site_fract_x
_atom_site_fract_y
_atom_site_fract_z
Dy1 Dy 0.000 0.000 0.000
Mn1 Mn 0.312 0.982 0.625
Mn2 Mn 0.316 0.633 0.632
Mn3 Mn 0.493 0.648 0.985
Tc1 Tc 0.141 0.660 0.283

=====

# Dy2MnTc PBE relaxed
# * formation energy: 573.1 meV/atom
# * N(E_F): 9.6 states/eV per cell
# * energy above the lowest structure with this stoichiometry: 0.443 eV per atom
# * total moment: 3.59 μB/f.u.
# * crystal system: trigonal
data_Dy2MnTc
_chemical_formula_sum 'Dy6 Mn3 Tc3'
_symmetry_space_group_name_H-M 'R -3 m'
_symmetry_Int_Tables_number 166
_symmetry_space_group_name_Hall '-R 3 2"'
_cell_length_a 3.2791
_cell_length_b 3.2791
_cell_length_c 30.2432
_cell_angle_alpha 90.00
_cell_angle_beta 90.00
_cell_angle_gamma 120.00
loop_
_atom_site_label
_atom_site_type_symbol
_atom_site_fract_x
_atom_site_fract_y
_atom_site_fract_z
Dy1 Dy 0.0000 0.0000 0.0976
Mn1 Mn 0.0000 0.0000 0.0000
Tc1 Tc 0.0000 0.0000 0.5000

=====

# DyMnTc PBE relaxed
# * formation energy: -71.2 meV/atom
# * N(E_F): 14.0 states/eV per cell
# * energy above the lowest structure with this stoichiometry: 0.000 eV per atom
# * total moment: 2.09 μB/f.u.
# * crystal system: orthorhombic
data_DyMnTc
_chemical_formula_sum 'Dy4 Mn4 Tc4'
_symmetry_space_group_name_H-M 'I m m a'
_symmetry_Int_Tables_number 74
_symmetry_space_group_name_Hall '-I 2b 2'
_cell_length_a 5.141
_cell_length_b 5.423
_cell_length_c 7.622
_cell_angle_alpha 90.00
_cell_angle_beta 90.00
_cell_angle_gamma 90.00
loop_
_atom_site_label
_atom_site_type_symbol
_atom_site_fract_x
_atom_site_fract_y
_atom_site_fract_z
Dy1 Dy 0.000 0.250 0.123
Mn1 Mn 0.000 0.000 0.500
Tc1 Tc 0.250 0.250 0.750

=====

# Dy2Mn16Tc PBE relaxed
# * formation energy: -0.2 meV/atom
# * N(E_F): 60.4 states/eV per cell
# * total moment: 5.11 μB/f.u.
# * crystal system: trigonal
data_Dy2Mn16Tc
_chemical_formula_sum 'Dy6 Mn48 Tc3'
_symmetry_space_group_name_H-M 'R 3 m'
_symmetry_Int_Tables_number 160
_symmetry_space_group_name_Hall 'R 3 -2"'
_cell_length_a 8.6790
_cell_length_b 8.6790
_cell_length_c 11.7019
_cell_angle_alpha 90.00
_cell_angle_beta 90.00
_cell_angle_gamma 120.00
loop_
_atom_site_label
_atom_site_type_symbol
_atom_site_fract_x
_atom_site_fract_y
_atom_site_fract_z
Dy1 Dy 0.0000 0.0000 0.0000
Dy2 Dy 0.0000 0.0000 0.2891
Mn1 Mn 0.0000 0.0000 0.7478
Mn2 Mn 0.0004 0.5002 0.1450
Mn3 Mn 0.0005 0.2781 0.6466
Mn4 Mn 0.0144 0.5072 0.5078
Mn5 Mn 0.1717 0.3434 0.1144
Tc1 Tc 0.0000 0.0000 0.5448

=====

# DyTmMnTc PBE relaxed
# * formation energy: 96.1 meV/atom
# * N(E_F): 14.9 states/eV per cell
# * total moment: 3.76 μB/f.u.
# * crystal system: cubic
data_DyTmMnTc
_chemical_formula_sum 'Dy4 Tm4 Mn4 Tc4'
_symmetry_space_group_name_H-M 'F -4 3 m'
_symmetry_Int_Tables_number 216
_symmetry_space_group_name_Hall 'F -4 2 3'
_cell_length_a 6.907
_cell_length_b 6.907
_cell_length_c 6.907
_cell_angle_alpha 90.00
_cell_angle_beta 90.00
_cell_angle_gamma 90.00
loop_
_atom_site_label
_atom_site_type_symbol
_atom_site_fract_x
_atom_site_fract_y
_atom_site_fract_z
Dy1 Dy 0.000 0.000 0.000
Tm1 Tm 0.000 0.000 0.500
Mn1 Mn 0.250 0.250 0.250
Tc1 Tc 0.250 0.250 0.750

=====

Q: N(E_F) of number 1 (DyMnTc)?
A: 27.1 states/eV per cell

=====

Q: The lowest N(E_F) belongs to which entry?
A: DyMn3Tc3

=====

Q: formation energy of number 5 (Dy2MnTc)?
A: 573.1 meV/atom

=====

Q: The lowest N(E_F) belongs to which entry?
A: DyMn3Tc3